# 1
Material: La2SmTh
Method: DFT, PBE-GGA
State: optimized geometry

a b c (Å): 3.620 7.231 11.216
angles (deg): 71.29 89.97 89.86
Atoms (fractional coordinates):
La (0.000, 0.132, 0.237)
La (0.000, 0.868, 0.763)
La (0.498, 0.265, 0.500)
La (0.502, 0.735, 0.500)
Sm (0.000, 0.365, 0.770)
Sm (0.000, 0.635, 0.230)
Th (0.500, 0.000, 0.000)
Th (0.500, 0.500, 0.000)

***

# 2
Material: La5Sm2Th
Method: DFT, PBE-GGA
State: optimized geometry

a b c (Å): 6.745 6.745 16.698
angles (deg): 90.00 90.00 129.97
Atoms (fractional coordinates):
La (0.038, 0.962, 0.750)
La (0.121, 0.879, 0.052)
La (0.121, 0.879, 0.448)
La (0.423, 0.577, 0.097)
La (0.423, 0.577, 0.403)
La (0.577, 0.423, 0.597)
La (0.577, 0.423, 0.903)
La (0.879, 0.121, 0.552)
La (0.879, 0.121, 0.948)
La (0.962, 0.038, 0.250)
Sm (0.277, 0.723, 0.633)
Sm (0.277, 0.723, 0.867)
Sm (0.723, 0.277, 0.133)
Sm (0.723, 0.277, 0.367)
Th (0.237, 0.763, 0.250)
Th (0.763, 0.237, 0.750)

***

# 3
Material: LaSmTh2
Method: DFT, PBE-GGA
State: optimized geometry

a b c (Å): 12.041 12.041 12.041
angles (deg): 17.24 17.24 17.24
Atoms (fractional coordinates):
La (0.000, 0.000, 0.000)
Sm (0.830, 0.830, 0.830)
Th (0.415, 0.415, 0.415)
Th (0.581, 0.581, 0.581)

***

Here are the calculated calculated total energy numbers, same order: -5.47, -5.08, -6.07 (eV/atom).
Here are the calculated DFT formation energy numbers, same order: 0.027, 0.110, 0.053 (eV/atom).
Here are the calculated polymorph energy (0 for the lowest one) numbers, same order: 0.00, 0.69, 0.10 (eV/f.u.).